1.
HfGe2Bi2 | PBE | optimized geometry

## Properties
* DFT formation energy: 362 meV/atom
* energy relative to the lowest polymorph listed for this composition: 1.235 eV/f.u.
* E: -5.03 eV/atom
* space group: No. 127

Structure (extended XYZ):
```
10
Lattice="7.8551 0.0000 0.0000 0.0000 7.8551 0.0000 0.0000 0.0000 4.2143" Properties=species:S:1:pos:R:3 pbc="T T T"
Ge 1.2518 5.1794 2.1071
Ge 5.1794 6.6033 2.1071
Ge 6.6033 2.6757 2.1071
Ge 2.6757 1.2518 2.1071
Hf 0.0000 0.0000 0.0000
Hf 3.9276 3.9276 0.0000
Bi 2.7179 6.6455 0.0000
Bi 6.6455 5.1372 0.0000
Bi 5.1372 1.2097 0.0000
Bi 1.2097 2.7179 0.0000
```

2.
Hf3GeBi | PBE | optimized geometry

## Properties
* DFT formation energy: -62 meV/atom
* energy relative to the lowest polymorph listed for this composition: 0.000 eV/f.u.
* E: -7.73 eV/atom
* space group: No. 15

Structure (extended XYZ):
```
20
Lattice="-4.4330 4.5085 -2.8109 -1.2703 0.8353 -6.7504 -9.7293 -7.6237 -0.7025" Properties=species:S:1:pos:R:3 pbc="T T T"
Hf -12.8405 -1.9044 -8.7357
Hf -7.3272 -4.3379 -2.0407
Hf -2.5922 -0.3755 -1.5280
Hf -8.1054 2.0579 -8.2231
Hf -10.1367 -1.4940 -6.9558
Hf -10.0258 -4.7542 -3.8270
Hf -5.2959 -0.7859 -3.3079
Hf -5.4068 2.4743 -6.4367
Hf -11.3849 -5.2483 -7.2071
Hf -7.0214 -3.0397 -5.7633
Hf -8.4113 0.7598 -4.5004
Hf -4.0478 2.9684 -3.0566
Ge -5.4998 -3.3942 -3.7264
Ge -2.2165 2.2542 -1.4054
Ge -6.0671 1.6754 -3.9808
Ge -9.3656 -3.9554 -6.2829
Bi -12.7576 -2.6651 -5.6773
Bi -8.8680 -1.8840 -3.2830
Bi -2.6750 0.3851 -4.5864
Bi -6.5646 -0.3960 -6.9807
```

3.
Hf5GeBi2 | PBE | optimized geometry

## Properties
* DFT formation energy: 168 meV/atom
* E: -7.60 eV/atom
* space group: No. 63

Structure (extended XYZ):
```
16
Lattice="-3.6727 -3.1592 -1.3889 5.4481 -0.0812 -5.0785 5.5034 -9.0573 6.0487" Properties=species:S:1:pos:R:3 pbc="T T T"
Hf 5.7627 -10.7596 0.0919
Hf 4.4291 -8.5649 -1.3738
Hf 4.8521 -5.3408 -0.6824
Hf 2.3596 -1.2387 -3.4219
Hf 0.9824 -4.5074 -1.4886
Hf 6.2964 -7.7902 1.0700
Hf 2.4267 -6.9569 0.2637
Hf 4.9193 -11.0590 3.0033
Hf 1.5161 -1.5380 -0.5106
Hf 2.8497 -3.7328 0.9551
Ge 3.8649 -9.0962 1.3267
Ge 3.4139 -3.2015 -1.7454
Bi 3.1439 -6.3649 -2.9793
Bi 1.6876 -3.9681 -4.5800
Bi 4.1349 -5.9328 2.5606
Bi 5.5912 -8.3296 4.1613
```

Question: Which of these has the highest E?
Answer: HfGe2Bi2